Record 1
VASP calculation (PBEsol) on a relaxed structure of TcAs3Os.

Calculated values
Formation energy from the elements, eV/f.u.: 6.9
Calculated density, g/cm3: 8.5
Total energy, eV/atom: -6.37

Cell and atoms, written as POSCAR:
```
TcAs3Os
1.0
4.6446 0.0000 0.0000
0.0000 4.6446 0.0000
0.0000 0.0000 4.6446
As Os Tc
3 1 1
Direct
0.0000 0.0000 0.5000
0.5000 0.0000 0.0000
0.0000 0.5000 0.0000
0.5000 0.5000 0.5000
0.0000 0.0000 0.0000
```

***

Record 2
VASP calculation (PBEsol) on a relaxed structure of BeReAu2.

Calculated values
Formation energy from the elements, eV/f.u.: 1.5
Calculated density, g/cm3: 17.3
Total energy, eV/atom: -5.92

Cell and atoms, written as POSCAR:
```
BeReAu2
1.0
2.7490 0.0000 0.0000
0.0000 4.5070 0.0000
-1.3745 -2.2535 4.5542
Au Re Be
2 1 1
Direct
0.2089 0.2089 0.4178
0.7911 0.7911 0.5822
0.0000 0.5000 0.0000
0.5000 0.0000 0.0000
```

***

Record 3
VASP calculation (PBEsol) on a relaxed structure of YTi2NiRu.

Calculated values
Formation energy from the elements, eV/f.u.: 1.4
Calculated density, g/cm3: 5.8
Total energy, eV/atom: -7.67

Cell and atoms, written as POSCAR:
```
YTi2NiRu
1.0
4.5189 0.0000 0.0000
0.0000 4.5189 0.0000
0.0000 0.0000 4.8222
Ru Ti Ni Y
1 2 1 1
Direct
0.0000 0.0000 0.0000
0.0000 0.5000 0.0000
0.5000 0.0000 0.0000
0.0000 0.0000 0.5000
0.5000 0.5000 0.5000
```

***

Record 4
VASP calculation (PBEsol) on a relaxed structure of CaMn2Be.

Calculated values
Formation energy from the elements, eV/f.u.: 2.4
Calculated density, g/cm3: 4.3
Total energy, eV/atom: -5.80

Cell and atoms, written as POSCAR:
```
CaMn2Be
1.0
-1.9318 1.5950 1.3778
-1.8821 -3.8861 1.8600
4.7165 1.4832 1.9296
Ca Be Mn
1 1 2
Direct
0.5000 0.0000 0.0000
0.0000 0.5000 0.0000
0.2953 0.2953 0.5907
0.7047 0.7047 0.4093
```

***

Record 5
VASP calculation (PBEsol) on a relaxed structure of Cs2HgN2.

Calculated values
Calculated density, g/cm3: 5.7
ΔE_f (raw), eV/atom: -0.15
Total energy, eV/atom: -4.05

Cell and atoms, written as POSCAR:
```
Cs2HgN2
1.0
-1.2411 -1.1210 3.4799
3.3994 -7.8646 -1.3210
7.4720 2.6393 3.5151
Cs N Hg
4 4 2
Direct
0.5000 0.7313 0.7687
0.5000 0.2687 0.2313
0.5000 0.2313 0.7313
0.5000 0.7687 0.2687
0.0000 0.5479 0.0479
0.0000 0.9521 0.5479
0.0000 0.0479 0.4521
0.0000 0.4521 0.9521
0.0000 0.5000 0.5000
0.0000 0.0000 0.0000
```

***

Record 6
VASP calculation (PBEsol) on a relaxed structure of TiGe2SeS.

Calculated values
Calculated density, g/cm3: 4.5
ΔE_f (raw), eV/atom: 0.84
Total energy, eV/atom: -4.45

Cell and atoms, written as POSCAR:
```
TiGe2SeS
1.0
4.6303 0.0000 0.0000
0.0000 4.9479 0.0000
0.0000 0.0000 4.9479
Se Ge S Ti
1 2 1 1
Direct
0.0000 0.0000 0.0000
0.0000 0.5000 0.0000
0.0000 0.0000 0.5000
0.5000 0.0000 0.0000
0.5000 0.5000 0.5000
```

***

What did the first record say?
VASP calculation (PBEsol) on a relaxed structure of TcAs3Os.

Calculated values
Formation energy from the elements, eV/f.u.: 6.9
Calculated density, g/cm3: 8.5
Total energy, eV/atom: -6.37

Cell and atoms, written as POSCAR:
```
TcAs3Os
1.0
4.6446 0.0000 0.0000
0.0000 4.6446 0.0000
0.0000 0.0000 4.6446
As Os Tc
3 1 1
Direct
0.0000 0.0000 0.5000
0.5000 0.0000 0.0000
0.0000 0.5000 0.0000
0.5000 0.5000 0.5000
0.0000 0.0000 0.0000
```

***

What did the fourth record say?
VASP calculation (PBEsol) on a relaxed structure of CaMn2Be.

Calculated values
Formation energy from the elements, eV/f.u.: 2.4
Calculated density, g/cm3: 4.3
Total energy, eV/atom: -5.80

Cell and atoms, written as POSCAR:
```
CaMn2Be
1.0
-1.9318 1.5950 1.3778
-1.8821 -3.8861 1.8600
4.7165 1.4832 1.9296
Ca Be Mn
1 1 2
Direct
0.5000 0.0000 0.0000
0.0000 0.5000 0.0000
0.2953 0.2953 0.5907
0.7047 0.7047 0.4093
```